No. 1
An optimized crystal structure of RbVO2. Source: the Alexandria database, functional GGA+U.

```
8
Lattice="-6.700 -0.928 1.619 1.866 -3.351 5.802 -2.415 0.386 5.168" Properties=species:S:1:pos:R:3 pbc="T T T"
O -2.197 -0.790 1.372
V -5.765 -1.341 5.248
O -5.116 -2.028 3.521
Rb -4.833 -3.016 8.149
O 0.282 -2.251 3.899
O -2.637 -3.489 6.048
V -1.483 -2.552 7.340
Rb -2.416 -0.877 4.439
```

Output
density	3.97	g/cm³
M_tot	0.500	μB per atom
electronic total energy	-49.2	eV/cell


No. 2
An optimized crystal structure of RbVO2. Source: the Alexandria database, functional GGA+U.

```
4
Lattice="0.000 2.982 2.982 2.982 0.000 2.982 2.982 2.982 0.000" Properties=species:S:1:pos:R:3 pbc="T T T"
Rb 2.982 2.982 2.982
O 1.491 1.491 1.491
O 4.472 4.472 4.472
V 0.000 0.000 0.000
```

Output
density	5.28	g/cm³
M_tot	0.500	μB per atom
electronic total energy	-20.2	eV/cell


No. 3
An optimized crystal structure of RbV3O. Source: the Alexandria database, functional GGA+U.

```
5
Lattice="-3.411 -0.346 -3.246 0.736 -4.656 -0.276 -3.180 -0.705 3.418" Properties=species:S:1:pos:R:3 pbc="T T T"
V 0.368 -2.328 -0.138
O 0.000 0.000 0.000
V -1.706 -0.173 -1.623
Rb -2.928 -2.854 -0.052
V -1.590 -0.353 1.709
```

Output
density	4.01	g/cm³
M_tot	2.164	μB per atom
electronic total energy	-24.0	eV/cell
energy relative to the lowest polymorph listed for this composition	0.0	meV/atom


No. 4
An optimized crystal structure of RbVO2. Source: the Alexandria database, functional GGA+U.

```
8
Lattice="8.006 0.357 0.062 -0.226 5.069 -0.047 0.711 0.063 3.368" Properties=species:S:1:pos:R:3 pbc="T T T"
O 6.591 2.730 1.005
O 1.539 2.022 2.085
O 7.008 5.303 2.628
Rb 1.357 4.425 0.319
V 5.844 4.599 1.127
O 4.097 4.670 1.494
Rb 4.289 2.042 3.261
V 7.811 2.159 2.517
```

Output
density	4.09	g/cm³
M_tot	0.500	μB per atom
electronic total energy	-50.4	eV/cell


No. 5
An optimized crystal structure of RbV4O10. Source: the Alexandria database, functional GGA+U.

```
15
Lattice="-0.771 5.759 -2.033 -1.444 3.460 -4.882 -9.957 1.103 1.464" Properties=species:S:1:pos:R:3 pbc="T T T"
O -9.373 3.355 -0.492
O -10.061 6.686 -3.017
V -3.545 8.568 -6.076
O -7.024 1.662 0.320
O -11.100 9.617 -5.136
O -2.799 6.966 -4.960
Rb -6.086 5.161 -2.726
O -3.542 1.821 -0.632
O -2.111 3.636 -2.435
O -1.072 0.705 -0.315
O -5.148 8.660 -5.771
V -2.031 2.075 -1.195
V -10.141 8.246 -4.257
O -8.631 8.500 -4.819
V -8.627 1.754 0.624
```

Output
density	3.43	g/cm³
M_tot	0.067	μB per atom
electronic total energy	-108.8	eV/cell


No. 6
An optimized crystal structure of RbV2O4. Source: the Alexandria database, functional GGA+U.

```
14
Lattice="6.927 -0.008 3.198 3.196 3.768 2.190 -1.248 0.920 12.345" Properties=species:S:1:pos:R:3 pbc="T T T"
O 6.604 3.249 5.957
O 2.327 3.703 10.187
V 7.525 3.766 13.770
O 1.278 0.701 4.777
O 0.501 2.213 11.411
O 3.795 1.010 6.338
V 4.632 2.791 5.844
V 2.471 1.885 11.070
O 3.668 2.432 4.096
O 6.466 4.017 12.376
Rb 6.171 -0.004 2.858
O 3.788 1.386 12.527
V 3.031 0.905 4.739
Rb 7.166 2.369 10.115
```

Output
density	2.51	g/cm³
M_tot	0.429	μB per atom
electronic total energy	-96.0	eV/cell


> Which formula does entry 1 have?

RbVO2